# 1
Here is Sm2Cu5Pd5 after structural relaxation from Alexandria via LeMat-Bulk. Energies are from GGA-PBE.

Lattice parameters (Å, degrees): 4.373 5.090 9.099 90.00 90.00 90.00
Positions (direct):
1 Sm 0.000 0.000 0.000
2 Sm 0.000 0.500 0.500
3 Cu 0.500 0.000 0.500
4 Cu 0.500 0.249 0.256
5 Cu 0.500 0.249 0.744
6 Cu 0.500 0.751 0.256
7 Cu 0.500 0.751 0.744
8 Pd 0.000 0.000 0.335
9 Pd 0.000 0.000 0.665
10 Pd 0.000 0.500 0.177
11 Pd 0.000 0.500 0.823
12 Pd 0.500 0.500 0.000

Summary:
E_tot, eV for the cell shown: -61.7
V, Å³ per cell: 202.6
Density, g/cm3: 9.4
Fermi-level density of states, states/eV per atom: 0.25
Energy relative to the elements, eV/atom: -0.481


# 2
Here is Sm2Cu15Pd2 after structural relaxation from Alexandria via LeMat-Bulk. Energies are from GGA-PBE.

Lattice parameters (Å, degrees): 6.533 6.533 6.533 83.27 83.27 83.27
Positions (direct):
1 Sm 0.162 0.162 0.162
2 Sm 0.838 0.838 0.838
3 Cu 0.000 0.500 0.500
4 Cu 0.151 0.151 0.657
5 Cu 0.151 0.657 0.151
6 Cu 0.205 0.500 0.795
7 Cu 0.205 0.795 0.500
8 Cu 0.343 0.849 0.849
9 Cu 0.500 0.000 0.500
10 Cu 0.500 0.205 0.795
11 Cu 0.500 0.500 0.000
12 Cu 0.500 0.795 0.205
13 Cu 0.657 0.151 0.151
14 Cu 0.795 0.205 0.500
15 Cu 0.795 0.500 0.205
16 Cu 0.849 0.343 0.849
17 Cu 0.849 0.849 0.343
18 Pd 0.395 0.395 0.395
19 Pd 0.605 0.605 0.605

Summary:
E_tot, eV for the cell shown: -84.6
V, Å³ per cell: 273.5
Density, g/cm3: 8.9
Fermi-level density of states, states/eV per atom: 0.46
Energy relative to the elements, eV/atom: -0.177


# 3
Here is SmCu2Pd after structural relaxation from Alexandria via LeMat-Bulk. Energies are from GGA-PBE.

Lattice parameters (Å, degrees): 4.387 9.832 6.626 90.00 90.00 90.00
Positions (direct):
1 Sm 0.000 0.089 0.250
2 Sm 0.000 0.911 0.750
3 Sm 0.500 0.411 0.750
4 Sm 0.500 0.589 0.250
5 Cu 0.000 0.380 0.062
6 Cu 0.000 0.380 0.438
7 Cu 0.000 0.620 0.562
8 Cu 0.000 0.620 0.938
9 Cu 0.500 0.120 0.562
10 Cu 0.500 0.120 0.938
11 Cu 0.500 0.880 0.062
12 Cu 0.500 0.880 0.438
13 Pd 0.000 0.205 0.750
14 Pd 0.000 0.795 0.250
15 Pd 0.500 0.295 0.250
16 Pd 0.500 0.705 0.750

Summary:
E_tot, eV for the cell shown: -79.0
V, Å³ per cell: 285.8
Density, g/cm3: 8.9
Fermi-level density of states, states/eV per atom: 0.38
Energy relative to the elements, eV/atom: -0.410
Offset from the most stable computed form, meV per atom: 0


# 4
Here is Sm2CuPd2 after structural relaxation from Alexandria via LeMat-Bulk. Energies are from GGA-PBE.

Lattice parameters (Å, degrees): 7.523 7.523 7.801 90.00 90.00 90.00
Positions (direct):
1 Sm 0.173 0.325 0.000
2 Sm 0.175 0.327 0.500
3 Sm 0.325 0.827 0.000
4 Sm 0.327 0.825 0.500
5 Sm 0.673 0.175 0.500
6 Sm 0.675 0.173 0.000
7 Sm 0.825 0.673 0.500
8 Sm 0.827 0.675 0.000
9 Cu 0.000 0.000 0.240
10 Cu 0.000 0.000 0.760
11 Cu 0.500 0.500 0.260
12 Cu 0.500 0.500 0.740
13 Pd 0.132 0.632 0.250
14 Pd 0.132 0.632 0.750
15 Pd 0.368 0.132 0.250
16 Pd 0.368 0.132 0.750
17 Pd 0.632 0.868 0.250
18 Pd 0.632 0.868 0.750
19 Pd 0.868 0.368 0.250
20 Pd 0.868 0.368 0.750

Summary:
E_tot, eV for the cell shown: -107.7
V, Å³ per cell: 441.5
Density, g/cm3: 8.7
Fermi-level density of states, states/eV per atom: 0.48
Energy relative to the elements, eV/atom: -0.602
Offset from the most stable computed form, meV per atom: 48


# 5
Here is Sm3Cu3Pd2 after structural relaxation from Alexandria via LeMat-Bulk. Energies are from GGA-PBE.

Lattice parameters (Å, degrees): 7.533 16.052 5.492 90.00 90.00 90.00
Positions (direct):
1 Sm 0.038 0.103 0.130
2 Sm 0.038 0.397 0.130
3 Sm 0.172 0.250 0.631
4 Sm 0.328 0.750 0.131
5 Sm 0.462 0.603 0.630
6 Sm 0.462 0.897 0.630
7 Sm 0.538 0.103 0.370
8 Sm 0.538 0.397 0.370
9 Sm 0.672 0.250 0.869
10 Sm 0.828 0.750 0.369
11 Sm 0.962 0.603 0.870
12 Sm 0.962 0.897 0.870
13 Cu 0.181 0.029 0.592
14 Cu 0.181 0.471 0.592
15 Cu 0.183 0.750 0.636
16 Cu 0.317 0.250 0.136
17 Cu 0.319 0.529 0.092
18 Cu 0.319 0.971 0.092
19 Cu 0.681 0.029 0.908
20 Cu 0.681 0.471 0.908
21 Cu 0.683 0.750 0.864
22 Cu 0.817 0.250 0.364
23 Cu 0.819 0.529 0.408
24 Cu 0.819 0.971 0.408
25 Pd 0.113 0.615 0.367
26 Pd 0.113 0.885 0.367
27 Pd 0.387 0.115 0.867
28 Pd 0.387 0.385 0.867
29 Pd 0.613 0.615 0.133
30 Pd 0.613 0.885 0.133
31 Pd 0.887 0.115 0.633
32 Pd 0.887 0.385 0.633

Summary:
E_tot, eV for the cell shown: -162.2
V, Å³ per cell: 664.1
Density, g/cm3: 8.5
Fermi-level density of states, states/eV per atom: 0.64
Energy relative to the elements, eV/atom: -0.464


# 6
Here is Sm2CuPd after structural relaxation from Alexandria via LeMat-Bulk. Energies are from GGA-PBE.

Lattice parameters (Å, degrees): 5.662 4.611 7.657 90.00 109.69 90.00
Positions (direct):
1 Sm 0.222 0.250 0.430
2 Sm 0.223 0.250 0.932
3 Sm 0.777 0.750 0.068
4 Sm 0.778 0.750 0.570
5 Cu 0.349 0.750 0.711
6 Cu 0.651 0.250 0.289
7 Pd 0.346 0.750 0.213
8 Pd 0.654 0.250 0.787

Summary:
E_tot, eV for the cell shown: -41.7
V, Å³ per cell: 188.2
Density, g/cm3: 8.3
Fermi-level density of states, states/eV per atom: 0.71
Energy relative to the elements, eV/atom: -0.532


# 7
Here is Sm3CuPd2 after structural relaxation from Alexandria via LeMat-Bulk. Energies are from GGA-PBE.

Lattice parameters (Å, degrees): 11.908 4.104 11.856 90.00 90.00 90.00
Positions (direct):
1 Sm 0.053 0.250 0.129
2 Sm 0.125 0.750 0.566
3 Sm 0.213 0.250 0.814
4 Sm 0.287 0.750 0.314
5 Sm 0.375 0.250 0.066
6 Sm 0.447 0.750 0.629
7 Sm 0.553 0.250 0.371
8 Sm 0.625 0.750 0.934
9 Sm 0.713 0.250 0.686
10 Sm 0.787 0.750 0.186
11 Sm 0.875 0.250 0.434
12 Sm 0.947 0.750 0.871
13 Cu 0.123 0.250 0.379
14 Cu 0.377 0.750 0.879
15 Cu 0.623 0.250 0.121
16 Cu 0.877 0.750 0.621
17 Pd 0.007 0.750 0.308
18 Pd 0.183 0.750 0.997
19 Pd 0.317 0.250 0.497
20 Pd 0.493 0.250 0.808
21 Pd 0.507 0.750 0.192
22 Pd 0.683 0.750 0.503
23 Pd 0.817 0.250 0.003
24 Pd 0.993 0.250 0.692

Summary:
E_tot, eV for the cell shown: -128.6
V, Å³ per cell: 579.4
Density, g/cm3: 8.3
Fermi-level density of states, states/eV per atom: 0.87
Energy relative to the elements, eV/atom: -0.586


# 8
Here is SmCuPd6 after structural relaxation from Alexandria via LeMat-Bulk. Energies are from GGA-PBE.

Lattice parameters (Å, degrees): 7.222 7.222 7.222 44.50 44.50 44.50
Positions (direct):
1 Sm 0.000 0.000 0.000
2 Cu 0.500 0.500 0.500
3 Pd 0.063 0.571 0.571
4 Pd 0.429 0.429 0.937
5 Pd 0.429 0.937 0.429
6 Pd 0.571 0.063 0.571
7 Pd 0.571 0.571 0.063
8 Pd 0.937 0.429 0.429

Summary:
E_tot, eV for the cell shown: -40.1
V, Å³ per cell: 168.3
Density, g/cm3: 8.4
Fermi-level density of states, states/eV per atom: 1.33
Energy relative to the elements, eV/atom: -0.014
Offset from the most stable computed form, meV per atom: 378


# 9
Here is Sm4Cu3Pd after structural relaxation from Alexandria via LeMat-Bulk. Energies are from GGA-PBE.

Lattice parameters (Å, degrees): 3.874 4.530 10.612 90.00 90.00 90.00
Positions (direct):
1 Sm 0.000 0.000 0.000
2 Sm 0.000 0.500 0.279
3 Sm 0.500 0.000 0.498
4 Sm 0.500 0.500 0.778
5 Cu 0.000 0.500 0.564
6 Cu 0.500 0.000 0.208
7 Cu 0.500 0.500 0.070
8 Pd 0.000 0.000 0.715

Summary:
E_tot, eV for the cell shown: -39.3
V, Å³ per cell: 186.2
Density, g/cm3: 8.0
Fermi-level density of states, states/eV per atom: 0.73
Energy relative to the elements, eV/atom: -0.367


# 10
Here is Sm4CuPd3 after structural relaxation from Alexandria via LeMat-Bulk. Energies are from GGA-PBE.

Lattice parameters (Å, degrees): 3.841 4.614 10.720 90.00 90.00 90.00
Positions (direct):
1 Sm 0.000 0.000 0.000
2 Sm 0.000 0.500 0.275
3 Sm 0.500 0.000 0.498
4 Sm 0.500 0.500 0.775
5 Cu 0.000 0.000 0.713
6 Pd 0.000 0.500 0.560
7 Pd 0.500 0.000 0.223
8 Pd 0.500 0.500 0.051

Summary:
E_tot, eV for the cell shown: -44.0
V, Å³ per cell: 190.0
Density, g/cm3: 8.6
Fermi-level density of states, states/eV per atom: 0.75
Energy relative to the elements, eV/atom: -0.687


# 11
Here is Sm2CuPd2 after structural relaxation from Alexandria via LeMat-Bulk. Energies are from GGA-PBE.

Lattice parameters (Å, degrees): 5.690 5.690 10.931 113.82 113.82 42.75
Positions (direct):
1 Sm 0.013 0.013 0.342
2 Sm 0.186 0.186 0.112
3 Sm 0.814 0.814 0.888
4 Sm 0.987 0.987 0.658
5 Cu 0.289 0.289 0.668
6 Cu 0.711 0.711 0.332
7 Pd 0.353 0.353 0.440
8 Pd 0.466 0.466 0.113
9 Pd 0.534 0.534 0.887
10 Pd 0.647 0.647 0.560

Summary:
E_tot, eV for the cell shown: -54.3
V, Å³ per cell: 216.4
Density, g/cm3: 8.9
Fermi-level density of states, states/eV per atom: 0.57
Energy relative to the elements, eV/atom: -0.650
Offset from the most stable computed form, meV per atom: 0


# 12
Here is Sm2CuPd3 after structural relaxation from Alexandria via LeMat-Bulk. Energies are from GGA-PBE.

Lattice parameters (Å, degrees): 5.337 5.337 5.337 63.09 63.09 63.09
Positions (direct):
1 Sm 0.128 0.128 0.128
2 Sm 0.872 0.872 0.872
3 Cu 0.500 0.500 0.500
4 Pd 0.000 0.500 0.500
5 Pd 0.500 0.000 0.500
6 Pd 0.500 0.500 0.000

Summary:
E_tot, eV for the cell shown: -33.0
V, Å³ per cell: 114.9
Density, g/cm3: 9.9
Fermi-level density of states, states/eV per atom: 0.71
Energy relative to the elements, eV/atom: -0.655


- What is the formula in the eleventh record?
  Sm2CuPd2